A plane-wave DFT calculation with GGA-PBEsol was carried out for a relaxed structure of CaBe2Fe.

Output
* calculated formation energy: 0.221 eV per atom

Structure (CIF):
```
data_CaBe2Fe
_space_group_name_H-M_alt 'P 4/m m m'
_space_group_IT_number 123
_space_group_name_Hall '-P 4 2'
_cell_length_a 2.8766
_cell_length_b 2.8766
_cell_length_c 6.2495
_cell_angle_alpha 90.00
_cell_angle_beta 90.00
_cell_angle_gamma 90.00
loop_
_atom_site_label
_atom_site_type_symbol
_atom_site_fract_x
_atom_site_fract_y
_atom_site_fract_z
Ca1 Ca 0.0000 0.0000 0.0000
Be1 Be 0.5000 0.5000 0.3378
Fe1 Fe 0.0000 0.0000 0.5000
```

---

A plane-wave DFT calculation with GGA-PBEsol was carried out for a relaxed structure of Rb2CaBeGa.

Output
* calculated formation energy: 0.808 eV per atom

Structure (CIF):
```
data_Rb2CaBeGa
_space_group_name_H-M_alt 'P 4/m m m'
_space_group_IT_number 123
_space_group_name_Hall '-P 4 2'
_cell_length_a 6.4937
_cell_length_b 6.4937
_cell_length_c 5.8537
_cell_angle_alpha 90.00
_cell_angle_beta 90.00
_cell_angle_gamma 90.00
loop_
_atom_site_label
_atom_site_type_symbol
_atom_site_fract_x
_atom_site_fract_y
_atom_site_fract_z
Rb1 Rb 0.0000 0.5000 0.0000
Ca1 Ca 0.0000 0.0000 0.5000
Be1 Be 0.5000 0.5000 0.5000
Ga1 Ga 0.0000 0.0000 0.0000
```

---

A plane-wave DFT calculation with GGA-PBEsol was carried out for a relaxed structure of Ca2BeGaSe.

Output
* formation energy without anion corrections: 0.074 eV/atom

Structure (CIF):
```
data_Ca2BeGaSe
_space_group_name_H-M_alt 'P 4/m m m'
_space_group_IT_number 123
_space_group_name_Hall '-P 4 2'
_cell_length_a 5.3772
_cell_length_b 5.3772
_cell_length_c 5.0333
_cell_angle_alpha 90.00
_cell_angle_beta 90.00
_cell_angle_gamma 90.00
loop_
_atom_site_label
_atom_site_type_symbol
_atom_site_fract_x
_atom_site_fract_y
_atom_site_fract_z
Ca1 Ca 0.0000 0.5000 0.0000
Be1 Be 0.0000 0.0000 0.5000
Ga1 Ga 0.5000 0.5000 0.5000
Se1 Se 0.5000 0.5000 0.0000
```

---

A plane-wave DFT calculation with GGA-PBEsol was carried out for a relaxed structure of CaGd2BeO5.

Output
* formation energy without anion corrections: -3.229 eV/atom

Structure (CIF):
```
data_CaGd2BeO5
_space_group_name_H-M_alt 'P n a 21'
_space_group_IT_number 33
_cell_length_a 9.2246
_cell_length_b 6.3225
_cell_length_c 7.0067
_cell_angle_alpha 90.00
_cell_angle_beta 90.00
_cell_angle_gamma 90.00
loop_
_space_group_symop_operation_xyz
'x,y,z'
'-x,-y,z+1/2'
'-x+1/2,y+1/2,z+1/2'
'x+1/2,-y+1/2,z'
loop_
_atom_site_label
_atom_site_type_symbol
_atom_site_fract_x
_atom_site_fract_y
_atom_site_fract_z
Ca1 Ca 0.1760 0.0802 0.0000
Gd1 Gd 0.0223 0.5970 0.7656
Gd2 Gd 0.1726 0.0718 0.5469
Be1 Be 0.1044 0.8062 0.2675
O1 O 0.0103 0.0229 0.2695
O2 O 0.0725 0.6838 0.0729
O3 O 0.0729 0.6928 0.4654
O4 O 0.2190 0.3600 0.7676
O5 O 0.2246 0.3351 0.2659
```

---

A plane-wave DFT calculation with GGA-PBEsol was carried out for a relaxed structure of CaBeReGe2.

Output
* calculated formation energy: 0.499 eV per atom

Structure (CIF):
```
data_CaBeReGe2
_space_group_name_H-M_alt 'P 4/m m m'
_space_group_IT_number 123
_space_group_name_Hall '-P 4 2'
_cell_length_a 4.4348
_cell_length_b 4.4348
_cell_length_c 4.2960
_cell_angle_alpha 90.00
_cell_angle_beta 90.00
_cell_angle_gamma 90.00
loop_
_atom_site_label
_atom_site_type_symbol
_atom_site_fract_x
_atom_site_fract_y
_atom_site_fract_z
Ca1 Ca 0.0000 0.0000 0.0000
Be1 Be 0.5000 0.5000 0.5000
Re1 Re 0.5000 0.5000 0.0000
Ge1 Ge 0.0000 0.5000 0.5000
```

---

A plane-wave DFT calculation with GGA-PBEsol was carried out for a relaxed structure of CaBe2H.

Structure (CIF):
```
data_CaBe2H
_space_group_name_H-M_alt 'F m -3 m'
_space_group_IT_number 225
_space_group_name_Hall '-F 4 2 3'
_cell_length_a 6.1905
_cell_length_b 6.1905
_cell_length_c 6.1905
_cell_angle_alpha 90.00
_cell_angle_beta 90.00
_cell_angle_gamma 90.00
loop_
_atom_site_label
_atom_site_type_symbol
_atom_site_fract_x
_atom_site_fract_y
_atom_site_fract_z
Ca1 Ca 0.0000 0.0000 0.0000
Be1 Be 0.2500 0.2500 0.2500
H1 H 0.0000 0.0000 0.5000
```

---

Number 1: total magnetization 0.55 Bohr magnetons per cell, uncorrected energy -0.3347 Ry per atom. Number 2: total magnetization 0.00 Bohr magnetons per cell, uncorrected energy -0.1100 Ry per atom. Number 3: total magnetization 0.00 Bohr magnetons per cell, uncorrected energy -0.2218 Ry per atom. Number 4: total magnetization 55.95 Bohr magnetons per cell, uncorrected energy -0.7378 Ry per atom. Number 5: total magnetization 0.00 Bohr magnetons per cell, uncorrected energy -0.3947 Ry per atom. Number 6: total magnetization 0.00 Bohr magnetons per cell, uncorrected energy -0.1586 Ry per atom.